Record 1
A plane-wave DFT calculation with PBE was carried out for a relaxed structure of KSb2As.

Output
The calculation puts the formation energy (no corrections) at -0.0220 eV/atom.

abc: 4.133 4.133 7.093
angles: 90.00 90.00 90.00
Atoms (fractional coordinates):
K 0.000 0.000 0.000
Sb 0.000 0.000 0.518
Sb 0.500 0.500 0.318
As 0.500 0.500 0.691


Record 2
A plane-wave DFT calculation with PBE was carried out for a relaxed structure of Ti3Nb2H4.

abc: 5.023 5.023 7.547
angles: 107.87 107.87 32.30
Atoms (fractional coordinates):
Ti 0.000 0.000 0.000
Ti 0.396 0.396 0.605
Ti 0.604 0.604 0.395
Nb 0.298 0.298 0.204
Nb 0.702 0.702 0.796
H 0.080 0.080 0.615
H 0.345 0.345 0.951
H 0.655 0.655 0.049
H 0.920 0.920 0.385


Record 3
A plane-wave DFT calculation with PBE was carried out for a relaxed structure of Mg2BeCrN4.

Output
The calculation puts the formation energy (no corrections) at -0.6978 eV/atom.

abc: 6.208 5.581 5.004
angles: 90.00 90.00 90.00
Atoms (fractional coordinates):
Mg 0.250 0.179 0.000
Mg 0.250 0.821 0.500
Mg 0.750 0.179 0.000
Mg 0.750 0.821 0.500
Be 0.000 0.340 0.509
Be 0.500 0.660 0.009
Cr 0.000 0.660 0.009
Cr 0.500 0.340 0.509
N 0.000 0.384 0.855
N 0.000 0.618 0.350
N 0.246 0.811 0.924
N 0.254 0.189 0.424
N 0.500 0.382 0.850
N 0.500 0.616 0.355
N 0.746 0.189 0.424
N 0.754 0.811 0.924


no.,E (Ry per atom),calculated density (Mg/m³)
1,-0.25871,4.90
2,-0.47741,5.74
3,-0.50919,3.17